Entry 1:
Here is TbPrAg6 after structural relaxation from Alexandria. Energies are from GGA-PBE.

Summary:
- Fermi-level density of states: 1.034 states/eV/cell
- Formation energy from the elements: -0.23 eV/atom
- Crystal system: trigonal

a = 5.600 Å, b = 5.601 Å, c = 5.601 Å
α = 96.60°, β = 96.69°, γ = 96.59°
Element x y z (fractional)
Pr 0.000 0.000 0.000
Ag 0.535 0.963 0.254
Ag 0.465 0.037 0.746
Ag 0.036 0.746 0.466
Ag 0.254 0.535 0.963
Ag 0.746 0.465 0.037
Ag 0.964 0.254 0.534
Tb 0.500 0.500 0.500


Entry 2:
Here is LaPr2Y after structural relaxation from Alexandria. Energies are from GGA-PBE.

Summary:
- Fermi-level density of states: 5.830 states/eV/cell
- Distance to the lowest polymorph of the same formula: 3 meV per atom
- Formation energy from the elements: 0.01 eV/atom
- Crystal system: trigonal

a = 3.690 Å, b = 3.690 Å, c = 12.201 Å
α = 81.30°, β = 81.30°, γ = 60.00°
Element x y z (fractional)
Y 0.500 0.500 0.500
Pr 0.752 0.752 0.745
Pr 0.248 0.248 0.255
La 0.000 0.000 0.000


Entry 3:
Here is RbMnNi after structural relaxation from Alexandria. Energies are from GGA-PBE.

Summary:
- Fermi-level density of states: 3.397 states/eV/cell
- Distance to the lowest polymorph of the same formula: 0 meV per atom
- Formation energy from the elements: 0.40 eV/atom
- Crystal system: monoclinic

a = 4.134 Å, b = 4.135 Å, c = 12.190 Å
α = 84.05°, β = 86.22°, γ = 119.95°
Each line ends with the local moment (μB).
Element x y z (fractional)
Ni 0.692 0.239 0.357  0.56
Ni 0.074 0.963 0.251  0.57
Mn 0.986 0.860 0.441  3.82
Mn 0.380 0.597 0.310  3.45
Rb 0.833 0.403 0.050  0.00
Rb 0.546 0.071 0.671  0.01


Entry 4:
Here is Li2AlIn after structural relaxation from Alexandria. Energies are from GGA-PBE.

Summary:
- Fermi-level density of states: 1.971 states/eV/cell
- Formation energy from the elements: -0.08 eV/atom
- Crystal system: trigonal

a = 3.074 Å, b = 3.074 Å, c = 9.553 Å
α = 80.74°, β = 80.74°, γ = 60.00°
Element x y z (fractional)
In 0.666 0.666 0.001
Li 0.246 0.246 0.261
Li 0.087 0.087 0.739
Al 0.500 0.500 0.499


Entry 5:
Here is MgBeN2 after structural relaxation from Alexandria. Energies are from GGA-PBE.

Summary:
- Fermi-level density of states: 1.557 states/eV/cell
- Distance to the lowest polymorph of the same formula: 400 meV per atom
- Crystal system: trigonal
- Formation energy (no corrections): 0.2372 eV/atom

a = 5.946 Å, b = 5.946 Å, c = 5.946 Å
α = 29.88°, β = 29.88°, γ = 29.88°
Each line ends with the local moment (μB).
Element x y z (fractional)
N 0.090 0.090 0.090  0.63
N 0.910 0.910 0.910  0.63
Be 0.000 0.000 0.000  0.00
Mg 0.500 0.500 0.500  0.01


Entry 6:
Here is Cr2SiW after structural relaxation from Alexandria. Energies are from GGA-PBE.

Summary:
- Fermi-level density of states: 4.030 states/eV/cell
- Crystal system: tetragonal
- Formation energy (no corrections): 0.0452 eV/atom

a = 4.541 Å, b = 4.541 Å, c = 4.541 Å
α = 130.90°, β = 130.90°, γ = 71.97°
Each line ends with the local moment (μB).
Element x y z (fractional)
Si 0.250 0.750 0.500  -0.01
Cr 0.500 0.500 0.000  0.22
Cr 0.000 0.000 0.000  0.22
W 0.750 0.250 0.500  -0.06


Entry 7:
Here is HfNiCCl2 after structural relaxation from Alexandria. Energies are from GGA-PBE.

Summary:
- Fermi-level density of states: 3.075 states/eV/cell
- Crystal system: tetragonal
- Formation energy (no corrections): 1.1021 eV/atom

a = 4.852 Å, b = 5.066 Å, c = 4.852 Å
α = 90.00°, β = 90.00°, γ = 90.00°
Each line ends with the local moment (μB).
Element x y z (fractional)
Cl 0.000 0.000 0.500  0.03
Cl 0.500 0.000 0.000  0.02
C 0.500 0.500 0.500  0.96
Hf 0.000 0.000 0.000  0.06
Ni 0.000 0.500 0.000  -0.48


Entry 8:
Here is Tl3GeAu4 after structural relaxation from Alexandria. Energies are from GGA-PBE.

Summary:
- Fermi-level density of states: 11.776 states/eV/cell
- Distance to the lowest polymorph of the same formula: 22 meV per atom
- Formation energy from the elements: 0.03 eV/atom
- Crystal system: monoclinic

a = 4.026 Å, b = 9.853 Å, c = 19.719 Å
α = 90.00°, β = 90.00°, γ = 90.00°
Element x y z (fractional)
Ge 0.004 0.750 0.346
Ge 0.506 0.250 0.154
Ge 0.996 0.250 0.654
Ge 0.494 0.750 0.846
Au 0.503 0.457 0.070
Au 0.005 0.250 0.239
Au 0.002 0.543 0.430
Au 0.497 0.957 0.930
Au 0.997 0.750 0.949
Au 0.998 0.043 0.570
Au 0.504 0.750 0.261
Au 0.502 0.750 0.449
Au 0.503 0.043 0.070
Au 0.998 0.457 0.570
Au 0.995 0.750 0.761
Au 0.498 0.250 0.551
Au 0.003 0.250 0.051
Au 0.002 0.957 0.430
Au 0.497 0.543 0.930
Au 0.496 0.250 0.739
Tl 0.502 0.059 0.323
Tl 0.002 0.559 0.177
Tl 0.002 0.750 0.560
Tl 0.998 0.250 0.440
Tl 0.998 0.441 0.823
Tl 0.002 0.941 0.177
Tl 0.502 0.441 0.323
Tl 0.498 0.559 0.677
Tl 0.498 0.941 0.677
Tl 0.998 0.059 0.823
Tl 0.502 0.250 0.939
Tl 0.498 0.750 0.061


Entry 9:
Here is Sc3Si2Ir5 after structural relaxation from Alexandria. Energies are from GGA-PBE.

Summary:
- Fermi-level density of states: 11.207 states/eV/cell
- Crystal system: tetragonal
- Formation energy (no corrections): -0.9513 eV/atom

a = 3.509 Å, b = 9.538 Å, c = 9.538 Å
α = 90.00°, β = 90.00°, γ = 90.00°
Element x y z (fractional)
Ir 0.500 0.712 0.431
Ir 0.500 0.212 0.069
Ir 0.500 0.500 0.000
Ir 0.500 0.069 0.788
Ir 0.500 0.931 0.212
Ir 0.500 0.000 0.500
Ir 0.500 0.431 0.288
Ir 0.500 0.569 0.712
Ir 0.500 0.288 0.569
Ir 0.500 0.788 0.931
Sc 0.000 0.173 0.327
Sc 0.000 0.827 0.673
Sc 0.000 0.000 0.000
Sc 0.000 0.673 0.173
Sc 0.000 0.327 0.827
Sc 0.000 0.500 0.500
Si 0.000 0.127 0.627
Si 0.000 0.873 0.373
Si 0.000 0.373 0.127
Si 0.000 0.627 0.873


Entry 10:
Here is BaMgRh2 after structural relaxation from Alexandria. Energies are from GGA-PBE.

Summary:
- Fermi-level density of states: 6.278 states/eV/cell
- Formation energy from the elements: 0.08 eV/atom
- Crystal system: tetragonal

a = 4.940 Å, b = 4.940 Å, c = 9.496 Å
α = 74.92°, β = 74.92°, γ = 90.00°
Each line ends with the local moment (μB).
Element x y z (fractional)
Rh 0.875 0.698 0.750  0.10
Rh 0.302 0.625 0.250  0.16
Rh 0.375 0.552 0.750  0.10
Rh 0.448 0.125 0.250  0.16
Mg 0.500 0.500 0.000  0.00
Mg 0.250 0.750 0.500  0.00
Ba 0.000 0.000 0.000  -0.01
Ba 0.750 0.250 0.500  -0.01


Entry 11:
Here is ScHW2 after structural relaxation from Alexandria. Energies are from GGA-PBE.

Summary:
- Fermi-level density of states: 2.969 states/eV/cell
- Distance to the lowest polymorph of the same formula: 0 meV per atom
- Crystal system: tetragonal

a = 5.613 Å, b = 5.613 Å, c = 5.599 Å
α = 59.92°, β = 59.92°, γ = 90.00°
Element x y z (fractional)
W 0.375 0.625 0.250
W 0.375 0.125 0.250
W 0.875 0.625 0.750
W 0.375 0.625 0.750
Sc 0.750 0.250 0.500
Sc 0.000 0.000 0.000
H 0.500 0.500 0.000
H 0.250 0.750 0.500


Entry 12:
Here is SmDy4Ga4 after structural relaxation from Alexandria. Energies are from GGA-PBE.

Summary:
- Fermi-level density of states: 14.865 states/eV/cell
- Formation energy from the elements: -0.40 eV/atom
- Crystal system: tetragonal

a = 4.801 Å, b = 9.999 Å, c = 9.999 Å
α = 90.00°, β = 90.00°, γ = 90.00°
Element x y z (fractional)
Ga 0.000 0.426 0.675
Ga 0.000 0.325 0.426
Ga 0.500 0.825 0.926
Ga 0.000 0.574 0.325
Ga 0.500 0.175 0.074
Ga 0.500 0.926 0.175
Ga 0.500 0.074 0.825
Ga 0.000 0.675 0.574
Dy 0.000 0.357 0.129
Dy 0.000 0.643 0.871
Dy 0.500 0.143 0.371
Dy 0.000 0.871 0.357
Dy 0.500 0.629 0.143
Dy 0.500 0.857 0.629
Dy 0.500 0.371 0.857
Dy 0.000 0.129 0.643
Sm 0.000 0.000 0.000
Sm 0.500 0.500 0.500


Entry 13:
Here is Y3MnIn after structural relaxation from Alexandria. Energies are from GGA-PBE.

Summary:
- Fermi-level density of states: 6.373 states/eV/cell
- Distance to the lowest polymorph of the same formula: 0 meV per atom
- Formation energy from the elements: 0.11 eV/atom
- Crystal system: cubic

a = 5.189 Å, b = 5.189 Å, c = 5.189 Å
α = 90.00°, β = 90.00°, γ = 90.00°
Each line ends with the local moment (μB).
Element x y z (fractional)
Y 0.000 0.500 0.000  -0.09
Y 0.000 0.000 0.500  -0.10
Y 0.500 0.000 0.000  -0.03
Mn 0.000 0.000 0.000  1.39
In 0.500 0.500 0.500  0.03


Entry 14:
Here is Tl3Re after structural relaxation from Alexandria. Energies are from GGA-PBE.

Summary:
- Fermi-level density of states: 2.414 states/eV/cell
- Distance to the lowest polymorph of the same formula: 413 meV per atom
- Formation energy from the elements: 0.95 eV/atom
- Crystal system: monoclinic

a = 5.165 Å, b = 3.116 Å, c = 6.123 Å
α = 70.81°, β = 90.00°, γ = 90.00°
Element x y z (fractional)
Tl 0.000 0.500 0.500
Tl 0.500 0.110 0.233
Tl 0.500 0.890 0.767
Re 0.000 0.000 0.000


Entry 15:
Here is Pr3Sm6Sc after structural relaxation from Alexandria. Energies are from GGA-PBE.

Summary:
- Fermi-level density of states: 27.018 states/eV/cell
- Distance to the lowest polymorph of the same formula: 0 meV per atom
- Formation energy from the elements: 0.14 eV/atom
- Crystal system: orthorhombic

a = 6.414 Å, b = 11.064 Å, c = 11.064 Å
α = 120.24°, β = 90.00°, γ = 90.00°
Element x y z (fractional)
Sm 0.370 0.532 0.951
Sm 0.556 0.624 0.711
Sm 0.870 0.468 0.049
Sm 0.370 0.049 0.468
Sm 0.140 0.724 0.276
Sm 0.384 0.959 0.041
Sm 0.056 0.376 0.289
Sm 0.056 0.711 0.624
Sm 0.640 0.276 0.724
Sm 0.556 0.289 0.376
Sm 0.884 0.041 0.959
Sm 0.870 0.951 0.532
Pr 0.458 0.285 0.054
Pr 0.958 0.054 0.285
Pr 0.575 0.616 0.384
Pr 0.458 0.946 0.715
Pr 0.075 0.384 0.616
Pr 0.958 0.715 0.946
Sc 0.119 0.197 0.803
Sc 0.619 0.803 0.197


Entry 16:
Here is Pm3Y5As8 after structural relaxation from Alexandria. Energies are from GGA-PBE.

Summary:
- Fermi-level density of states: 2.485 states/eV/cell
- Formation energy from the elements: -1.54 eV/atom
- Crystal system: trigonal

a = 8.337 Å, b = 8.337 Å, c = 8.332 Å
α = 59.98°, β = 59.98°, γ = 60.00°
Element x y z (fractional)
Pm 0.000 0.000 0.500
Pm 0.000 0.500 0.500
Pm 0.500 0.000 0.500
Y 0.500 0.500 0.500
Y 0.500 0.500 0.000
Y 0.000 0.000 0.000
Y 0.000 0.500 0.000
Y 0.500 0.000 0.000
As 0.748 0.748 0.757
As 0.750 0.750 0.246
As 0.250 0.250 0.754
As 0.750 0.254 0.246
As 0.252 0.252 0.243
As 0.254 0.750 0.246
As 0.746 0.250 0.754
As 0.250 0.746 0.754


Entry 17:
Here is NbHg after structural relaxation from Alexandria. Energies are from GGA-PBE.

Summary:
- Fermi-level density of states: 3.440 states/eV/cell
- Formation energy from the elements: 0.31 eV/atom
- Crystal system: monoclinic

a = 5.184 Å, b = 3.210 Å, c = 4.903 Å
α = 90.00°, β = 105.17°, γ = 90.00°
Element x y z (fractional)
Nb 0.000 0.500 0.500
Nb 0.000 0.000 0.000
Hg 0.500 0.000 0.500
Hg 0.500 0.500 0.000


Entry 18:
Here is LiAc5Co2 after structural relaxation from Alexandria. Energies are from GGA-PBE.

Summary:
- Fermi-level density of states: 16.777 states/eV/cell
- Formation energy from the elements: 0.03 eV/atom
- Crystal system: tetragonal

a = 8.267 Å, b = 8.267 Å, c = 9.506 Å
α = 115.77°, β = 115.77°, γ = 90.00°
Element x y z (fractional)
Ac 0.031 0.531 0.744
Ac 0.000 0.000 0.000
Ac 0.500 0.500 0.000
Ac 0.214 0.031 0.744
Ac 0.714 0.214 0.744
Ac 0.969 0.469 0.256
Ac 0.286 0.786 0.256
Ac 0.786 0.969 0.256
Ac 0.469 0.286 0.256
Ac 0.531 0.714 0.744
Co 0.142 0.358 0.000
Co 0.358 0.858 0.000
Co 0.642 0.142 0.000
Co 0.858 0.642 0.000
Li 0.250 0.250 0.500
Li 0.750 0.750 0.500


Entry 19:
Here is InGa2I after structural relaxation from Alexandria. Energies are from GGA-PBE.

Summary:
- Fermi-level density of states: 0.045 states/eV/cell
- Distance to the lowest polymorph of the same formula: 0 meV per atom
- Crystal system: tetragonal
- Formation energy (no corrections): 0.0672 eV/atom

a = 6.494 Å, b = 6.494 Å, c = 8.228 Å
α = 66.76°, β = 66.76°, γ = 90.00°
Element x y z (fractional)
In 0.500 0.500 0.000
In 0.250 0.750 0.500
Ga 0.574 0.125 0.250
Ga 0.375 0.426 0.750
Ga 0.875 0.824 0.750
Ga 0.176 0.625 0.250
I 0.750 0.250 0.500
I 0.000 0.000 0.000


Entry 20:
Here is Er4ZnCo3 after structural relaxation from Alexandria. Energies are from GGA-PBE.

Summary:
- Fermi-level density of states: 8.018 states/eV/cell
- Formation energy from the elements: -0.24 eV/atom
- Crystal system: orthorhombic

a = 3.964 Å, b = 4.001 Å, c = 10.257 Å
α = 90.00°, β = 90.00°, γ = 90.00°
Each line ends with the local moment (μB).
Element x y z (fractional)
Co 0.000 0.000 0.447  0.78
Co 0.000 0.500 0.556  0.73
Co 0.500 0.000 0.928  0.02
Er 0.000 0.500 0.850  0.00
Er 0.000 0.000 0.144  -0.01
Er 0.500 0.500 0.366  -0.13
Er 0.500 0.000 0.643  -0.10
Zn 0.500 0.500 0.066  0.01